Model a:
Nd3SmDy5 after structural relaxation, computed with PBE.

Summary:
mass density	7.40	g/cm3
space group	C2/c

Cell lengths 9.7366, 9.7366, 11.5055 Å; angles 110.70, 110.70, 38.24 degrees
Positions (direct):
Nd  0.0000  0.0000  0.0000
Nd  0.0000  0.0000  0.5000
Nd  0.0151  0.6426  0.6275
Nd  0.3574  0.9849  0.8725
Nd  0.6426  0.0151  0.1275
Nd  0.9849  0.3574  0.3725
Sm  0.4079  0.5921  0.7500
Sm  0.5921  0.4079  0.2500
Dy  0.1179  0.8821  0.2500
Dy  0.1202  0.5408  0.2864
Dy  0.1450  0.5342  0.9851
Dy  0.4592  0.8798  0.2136
Dy  0.4658  0.8550  0.5149
Dy  0.5342  0.1450  0.4851
Dy  0.5408  0.1202  0.7864
Dy  0.8550  0.4658  0.0149
Dy  0.8798  0.4592  0.7136
Dy  0.8821  0.1179  0.7500

Model b:
Nd3SmDy5 after structural relaxation, computed with PBE.

Summary:
mass density	7.77	g/cm3
space group	P-1

Cell lengths 6.7033, 8.6217, 11.0546 Å; angles 104.52, 98.41, 100.03 degrees
Positions (direct):
Nd  0.0000  0.0000  0.0000
Nd  0.1775  0.5634  0.4122
Nd  0.3209  0.4358  0.0854
Nd  0.5000  0.0000  0.5000
Nd  0.6791  0.5642  0.9146
Nd  0.8225  0.4366  0.5878
Sm  0.4397  0.2493  0.3153
Sm  0.5603  0.7507  0.6847
Dy  0.0461  0.8951  0.6306
Dy  0.0651  0.7521  0.1861
Dy  0.1896  0.6629  0.8599
Dy  0.3089  0.3362  0.6430
Dy  0.4525  0.1069  0.8690
Dy  0.5475  0.8931  0.1310
Dy  0.6911  0.6638  0.3570
Dy  0.8104  0.3371  0.1401
Dy  0.9349  0.2479  0.8139
Dy  0.9539  0.1049  0.3694

Most stable structure - model b; separation to the second - 19.6 kJ/mol of atoms.

Model a:
Nd5Sm2Dy3 after structural relaxation, computed with PBE.

Summary:
mass density	7.28	g/cm3
space group	C2/c

Cell lengths 9.2597, 9.2597, 10.0387 Å; angles 108.41, 108.41, 108.21 degrees
Positions (direct):
Nd  0.0245  0.9755  0.7500
Nd  0.1202  0.3641  0.7372
Nd  0.2307  0.7693  0.7500
Nd  0.2712  0.7288  0.2500
Nd  0.3641  0.1202  0.2372
Nd  0.6359  0.8798  0.7628
Nd  0.7288  0.2712  0.7500
Nd  0.7693  0.2307  0.2500
Nd  0.8798  0.6359  0.2628
Nd  0.9755  0.0245  0.2500
Sm  0.2269  0.4725  0.4430
Sm  0.4725  0.2269  0.9430
Sm  0.5275  0.7731  0.0570
Sm  0.7731  0.5275  0.5570
Dy  0.0331  0.2809  0.0546
Dy  0.2809  0.0331  0.5546
Dy  0.4800  0.5200  0.2500
Dy  0.5200  0.4800  0.7500
Dy  0.7191  0.9669  0.4454
Dy  0.9669  0.7191  0.9454

Model b:
Nd5Sm2Dy3 after structural relaxation, computed with PBE.

Summary:
mass density	6.95	g/cm3
space group	Ibam

Cell lengths 12.5044, 12.5044, 12.5044 Å; angles 135.50, 55.84, 148.02 degrees
Positions (direct):
Nd  0.0025  0.7500  0.2525
Nd  0.1267  0.0967  0.2234
Nd  0.2500  0.2500  0.0000
Nd  0.3733  0.5967  0.9700
Nd  0.4975  0.7500  0.7475
Nd  0.5025  0.2500  0.2525
Nd  0.6267  0.4033  0.0300
Nd  0.7500  0.7500  0.0000
Nd  0.8733  0.9033  0.7766
Nd  0.9975  0.2500  0.7475
Sm  0.1218  0.4043  0.5260
Sm  0.3782  0.9043  0.2825
Sm  0.6218  0.0957  0.7175
Sm  0.8782  0.5957  0.4740
Dy  0.1197  0.7472  0.8668
Dy  0.2500  0.7500  0.5000
Dy  0.3803  0.2472  0.6275
Dy  0.6197  0.7528  0.3725
Dy  0.7500  0.2500  0.5000
Dy  0.8803  0.2528  0.1332

Most stable structure - model a; separation to the second - 17.6 kJ/mol of atoms.

Model a:
NdSmDy5 after structural relaxation, computed with PBE.

Summary:
mass density	8.01	g/cm3
space group	C2/c

Cell lengths 6.7900, 6.7900, 12.1811 Å; angles 106.92, 106.92, 60.23 degrees
Positions (direct):
Nd  0.0270  0.9730  0.7500
Nd  0.9730  0.0270  0.2500
Sm  0.0000  0.5000  0.0000
Sm  0.5000  0.0000  0.5000
Dy  0.1427  0.4172  0.7495
Dy  0.1943  0.6501  0.5007
Dy  0.3499  0.8057  0.9993
Dy  0.4122  0.5878  0.2500
Dy  0.4172  0.1427  0.2495
Dy  0.5828  0.8573  0.7505
Dy  0.5878  0.4122  0.7500
Dy  0.6501  0.1943  0.0007
Dy  0.8057  0.3499  0.4993
Dy  0.8573  0.5828  0.2505

Model b:
NdSmDy5 after structural relaxation, computed with PBE.

Summary:
mass density	6.23	g/cm3
space group	Immm

Cell lengths 7.8715, 7.8715, 7.8715 Å; angles 137.00, 113.32, 82.69 degrees
Positions (direct):
Nd  0.0000  0.0000  0.0000
Sm  0.5000  0.5000  0.0000
Dy  0.1796  0.5000  0.6796
Dy  0.2528  0.2528  0.0000
Dy  0.5000  0.0000  0.5000
Dy  0.7472  0.7472  0.0000
Dy  0.8204  0.5000  0.3204

Most stable structure - model a; separation to the second - 86.2 kJ/mol of atoms.

Model a:
Nd3SmDy7 after structural relaxation, computed with PBE.

Summary:
mass density	7.78	g/cm3
space group	P2/m

Cell lengths 6.9902, 5.5586, 10.0676 Å; angles 90.00, 110.11, 90.00 degrees
Positions (direct):
Nd  0.0000  0.0000  0.0000
Nd  0.2824  0.5000  0.4994
Nd  0.7176  0.5000  0.5006
Sm  0.5000  0.0000  0.0000
Dy  0.0000  0.0000  0.5000
Dy  0.1443  0.5000  0.7889
Dy  0.3209  0.5000  0.1382
Dy  0.4165  0.0000  0.3297
Dy  0.5835  0.0000  0.6703
Dy  0.6791  0.5000  0.8618
Dy  0.8557  0.5000  0.2111

Model b:
Nd3SmDy7 after structural relaxation, computed with PBE.

Summary:
mass density	7.52	g/cm3
space group	P3m1

Cell lengths 7.0948, 7.0948, 8.7172 Å; angles 90.00, 90.00, 120.00 degrees
Positions (direct):
Nd  0.9996  0.4998  0.0000
Nd  0.5002  0.0004  0.0000
Nd  0.5002  0.4998  0.0000
Sm  0.3333  0.6667  0.3397
Dy  0.1673  0.3346  0.6638
Dy  0.1673  0.8327  0.6638
Dy  0.3350  0.1675  0.3383
Dy  0.6654  0.8327  0.6638
Dy  0.6667  0.3333  0.6611
Dy  0.8325  0.1675  0.3383
Dy  0.8325  0.6650  0.3383

Most stable structure - model a; separation to the second - 3.2 kJ/mol of atoms.

Model a:
Nd3Sm4Dy2 after structural relaxation, computed with PBE.

Summary:
mass density	7.33	g/cm3
space group	P3m1

Cell lengths 3.6315, 3.6315, 26.9630 Å; angles 90.00, 90.00, 120.00 degrees
Positions (direct):
Nd  0.0000  0.0000  0.0000
Nd  0.0000  0.0000  0.3382
Nd  0.6667  0.3333  0.6718
Sm  0.0000  0.0000  0.5600
Sm  0.0000  0.0000  0.7837
Sm  0.6667  0.3333  0.2309
Sm  0.6667  0.3333  0.4521
Dy  0.6667  0.3333  0.1054
Dy  0.6667  0.3333  0.8893

Model b:
Nd3Sm4Dy2 after structural relaxation, computed with PBE.

Summary:
mass density	7.44	g/cm3
space group	C2/m

Cell lengths 6.2823, 6.2823, 14.9357 Å; angles 110.47, 110.47, 33.57 degrees
Positions (direct):
Nd  0.0000  0.0000  0.0000
Nd  0.1099  0.1099  0.4431
Nd  0.8901  0.8901  0.5569
Sm  0.2212  0.2212  0.8887
Sm  0.3310  0.3310  0.3314
Sm  0.6690  0.6690  0.6686
Sm  0.7788  0.7788  0.1113
Dy  0.4451  0.4451  0.7786
Dy  0.5549  0.5549  0.2214

Most stable structure - model b; separation to the second - 5.1 kJ/mol of atoms.

Model a:
NdSm3Dy6 after structural relaxation, computed with PBE.

Summary:
mass density	7.90	g/cm3
space group	Cmc2_1

Cell lengths 11.0049, 11.0049, 6.2692 Å; angles 90.00, 90.00, 119.59 degrees
Positions (direct):
Nd  0.2018  0.7982  0.5000
Nd  0.7982  0.2018  0.0000
Sm  0.0624  0.2848  0.6750
Sm  0.2848  0.0624  0.1750
Sm  0.3896  0.6104  0.5668
Sm  0.6104  0.3896  0.0668
Sm  0.7152  0.9376  0.6750
Sm  0.9376  0.7152  0.1750
Dy  0.0431  0.9569  0.7388
Dy  0.0438  0.4646  0.2659
Dy  0.2791  0.7209  0.9947
Dy  0.2884  0.3811  0.0975
Dy  0.3811  0.2884  0.5975
Dy  0.4646  0.0438  0.7659
Dy  0.5354  0.9562  0.2659
Dy  0.6189  0.7116  0.0975
Dy  0.7116  0.6189  0.5975
Dy  0.7209  0.2791  0.4947
Dy  0.9562  0.5354  0.7659
Dy  0.9569  0.0431  0.2388

Model b:
NdSm3Dy6 after structural relaxation, computed with PBE.

Summary:
mass density	7.88	g/cm3
space group	R3

Cell lengths 6.9184, 6.9184, 6.9184 Å; angles 91.54, 91.54, 91.54 degrees
Positions (direct):
Nd  0.0000  0.0000  0.0000
Sm  0.2510  0.2510  0.2510
Sm  0.4999  0.4999  0.4999
Sm  0.7482  0.7482  0.7482
Dy  0.0012  0.3287  0.6729
Dy  0.1738  0.8278  0.5012
Dy  0.3287  0.6729  0.0012
Dy  0.5012  0.1738  0.8278
Dy  0.6729  0.0012  0.3287
Dy  0.8278  0.5012  0.1738

Most stable structure - model a; separation to the second - 12.8 kJ/mol of atoms.